# 1
## Eu2GeI (GGA-PBE)

Data for Eu2GeI after structural relaxation.

Values from the calculation:
Magnetization (Bohr magnetons per cell): 13.9
Energy (eV/atom): -7.616

Cell lengths 8.4217, 8.4217, 8.4217 Å; angles 30.41, 30.41, 30.41 degrees
Positions (direct):
Eu: 0.2369 0.2369 0.2369
Eu: 0.7631 0.7631 0.7631
Ge: 0.5000 0.5000 0.5000
I: 0.0000 0.0000 0.0000

# 2
## EuGeI2 (GGA-PBE)

Data for EuGeI2 after structural relaxation.

Values from the calculation:
Magnetization (Bohr magnetons per cell): 7.6
Energy (eV/atom): -4.648

Cell lengths 10.7627, 10.7627, 10.7627 Å; angles 22.35, 22.35, 22.35 degrees
Positions (direct):
Eu: 0.0000 0.0000 0.0000
Ge: 0.5000 0.5000 0.5000
I: 0.1039 0.1039 0.1039
I: 0.8961 0.8961 0.8961

# 3
## Eu2GeI (GGA-PBE)

Data for Eu2GeI after structural relaxation.

Values from the calculation:
Magnetization (Bohr magnetons per cell): 14.3
Energy (eV/atom): -7.555

Cell lengths 3.7878, 3.7878, 8.4759 Å; angles 90.00, 90.00, 90.00 degrees
Positions (direct):
Eu: 0.0000 0.0000 0.2150
Eu: 0.0000 0.0000 0.7850
Ge: 0.5000 0.5000 0.0000
I: 0.5000 0.5000 0.5000

# 4
## Eu2InGe (GGA-PBE)

Data for Eu2InGe after structural relaxation.

Values from the calculation:
Energy of formation from the pure elements (eV/atom): -0.119
Magnetization (Bohr magnetons per cell): 14.7
Energy (eV/atom): -7.095

Cell lengths 11.2763, 11.2763, 11.2763 Å; angles 19.01, 19.01, 19.01 degrees
Positions (direct):
Eu: 0.1015 0.1015 0.1015
Eu: 0.8985 0.8985 0.8985
In: 0.0000 0.0000 0.0000
Ge: 0.5000 0.5000 0.5000

# 5
## EuInGe (GGA-PBE)

Data for EuInGe after structural relaxation.

Values from the calculation:
Energy of formation from the pure elements (eV/atom): -0.320
Magnetization (Bohr magnetons per cell): 7.1
Energy (eV/atom): -6.197

Cell lengths 6.2728, 6.2728, 6.2728 Å; angles 145.64, 145.64, 49.38 degrees
Positions (direct):
Eu: 0.0000 0.0000 0.0000
In: 0.6996 0.6996 0.0000
Ge: 0.3195 0.3195 0.0000

# 6
## EuIn2Ge (GGA-PBE)

Data for EuIn2Ge after structural relaxation.

Values from the calculation:
Energy of formation from the pure elements (eV/atom): -0.367
Magnetization (Bohr magnetons per cell): 7.0
Energy (eV/atom): -5.459

Cell lengths 4.5074, 4.5074, 4.8822 Å; angles 90.00, 90.00, 90.00 degrees
Positions (direct):
Eu: 0.0000 0.0000 0.0000
In: 0.0000 0.5000 0.5000
In: 0.5000 0.0000 0.5000
Ge: 0.5000 0.5000 0.0000

# 7
## Eu2InGe (GGA-PBE)

Data for Eu2InGe after structural relaxation.

Values from the calculation:
Energy of formation from the pure elements (eV/atom): -0.512
Magnetization (Bohr magnetons per cell): 14.1
Energy (eV/atom): -7.488

Cell lengths 3.8195, 3.8195, 7.7121 Å; angles 90.00, 90.00, 90.00 degrees
Positions (direct):
Eu: 0.0000 0.0000 0.2251
Eu: 0.0000 0.0000 0.7749
In: 0.5000 0.5000 0.5000
Ge: 0.5000 0.5000 0.0000

# 8
## EuInGe (GGA-PBE)

Data for EuInGe after structural relaxation.

Values from the calculation:
Energy of formation from the pure elements (eV/atom): -0.489
Magnetization (Bohr magnetons per cell): 28.2
Energy (eV/atom): -6.366

Cell lengths 4.0643, 4.7203, 16.4895 Å; angles 90.00, 90.00, 90.00 degrees
Positions (direct):
Eu: 0.0345 0.2495 0.4018
Eu: 0.4655 0.7505 0.9018
Eu: 0.5345 0.2505 0.5982
Eu: 0.9655 0.7495 0.0982
In: 0.1574 0.7505 0.7144
In: 0.3426 0.2495 0.2144
In: 0.6574 0.7495 0.2856
In: 0.8426 0.2505 0.7856
Ge: 0.0276 0.7509 0.5471
Ge: 0.4724 0.2491 0.0471
Ge: 0.5276 0.7491 0.4529
Ge: 0.9724 0.2509 0.9529

# 9
## EuIn2Ge (GGA-PBE)

Data for EuIn2Ge after structural relaxation.

Values from the calculation:
Energy of formation from the pure elements (eV/atom): -0.196
Magnetization (Bohr magnetons per cell): 7.2
Energy (eV/atom): -5.288

Cell lengths 6.4764, 6.4764, 6.4764 Å; angles 42.63, 42.63, 42.63 degrees
Positions (direct):
Eu: 0.0000 0.0000 0.0000
In: 0.2274 0.2274 0.2274
In: 0.7726 0.7726 0.7726
Ge: 0.5000 0.5000 0.5000

# 10
## Eu2InGe (GGA-PBE)

Data for Eu2InGe after structural relaxation.

Values from the calculation:
Energy of formation from the pure elements (eV/atom): -0.481
Magnetization (Bohr magnetons per cell): 14.4
Energy (eV/atom): -7.457

Cell lengths 5.4302, 5.4302, 5.4302 Å; angles 60.00, 60.00, 60.00 degrees
Positions (direct):
Eu: 0.2500 0.2500 0.2500
Eu: 0.7500 0.7500 0.7500
In: 0.0000 0.0000 0.0000
Ge: 0.5000 0.5000 0.5000

# 11
## EuInGe (GGA-PBE)

Data for EuInGe after structural relaxation.

Values from the calculation:
Energy of formation from the pure elements (eV/atom): -0.353
Magnetization (Bohr magnetons per cell): 7.1
Energy (eV/atom): -6.229

Cell lengths 4.9475, 4.9475, 4.9475 Å; angles 60.00, 60.00, 60.00 degrees
Positions (direct):
Eu: 0.0000 0.0000 0.0000
In: 0.5000 0.5000 0.5000
Ge: 0.2500 0.2500 0.2500

# 12
## LaEuInGe (GGA-PBE)

Data for LaEuInGe after structural relaxation.

Values from the calculation:
Energy of formation from the pure elements (eV/atom): -0.514
Magnetization (Bohr magnetons per cell): 7.1
Energy (eV/atom): -6.153

Cell lengths 5.4361, 5.4361, 5.4361 Å; angles 60.00, 60.00, 60.00 degrees
Positions (direct):
La: 0.0000 0.0000 0.0000
Eu: 0.5000 0.5000 0.5000
In: 0.2500 0.2500 0.2500
Ge: 0.7500 0.7500 0.7500